No. 1
{
  "formula": "BaSn",
  "functional": "GGA-PBE",
  "state": "optimized geometry",
  "dos_at_fermi_per_ev_atom": 0.430,
  "ef_ev_per_atom": -0.578,
  "energy_ev_per_atom": -3.541,
  "space_group": "Cmcm, No. 63",
  "cell": [[3.840, -6.164, 0.000], [3.840, 6.164, 0.000], [0.000, 0.000, 6.510]],
  "species": ["Ba", "Ba", "Ba", "Ba", "Sn", "Sn", "Sn", "Sn"],
  "fractional_positions": [[0.105, 0.895, 0.750], [0.342, 0.658, 0.250], [0.658, 0.342, 0.750], [0.895, 0.105, 0.250], [0.192, 0.425, 0.750], [0.425, 0.192, 0.250], [0.575, 0.808, 0.750], [0.808, 0.575, 0.250]]
}


No. 2
{
  "formula": "K4Nd3PbO8",
  "functional": "GGA-PBE",
  "state": "optimized geometry",
  "dos_at_fermi_per_ev_atom": 0.128,
  "energy_ev_per_atom": -6.114,
  "e_form_raw_mev_per_atom": -2235,
  "space_group": "R-3m, No. 166",
  "cell": [[3.634, 2.098, 6.329], [-3.634, 2.098, 6.329], [0.000, -4.196, 6.329]],
  "species": ["K", "K", "K", "K", "Nd", "Nd", "Nd", "Pb", "O", "O", "O", "O", "O", "O", "O", "O"],
  "fractional_positions": [[0.000, 0.000, 0.000], [0.000, 0.500, 0.500], [0.500, 0.000, 0.500], [0.500, 0.500, 0.000], [0.000, 0.000, 0.500], [0.000, 0.500, 0.000], [0.500, 0.000, 0.000], [0.500, 0.500, 0.500], [0.227, 0.735, 0.735], [0.230, 0.230, 0.230], [0.265, 0.265, 0.773], [0.265, 0.773, 0.265], [0.735, 0.227, 0.735], [0.735, 0.735, 0.227], [0.770, 0.770, 0.770], [0.773, 0.265, 0.265]]
}


No. 3
{
  "formula": "PuMnH",
  "functional": "GGA-PBE",
  "state": "optimized geometry",
  "dos_at_fermi_per_ev_atom": 1.335,
  "energy_ev_per_atom": -8.765,
  "space_group": "Cmcm, No. 63",
  "cell": [[1.374, -6.568, 0.000], [1.374, 6.568, 0.000], [0.000, 0.000, 3.654]],
  "species": ["Pu", "Pu", "Mn", "Mn", "H", "H"],
  "fractional_positions": [[0.057, 0.943, 0.750], [0.943, 0.057, 0.250], [0.274, 0.726, 0.250], [0.726, 0.274, 0.750], [0.318, 0.682, 0.750], [0.682, 0.318, 0.250]]
}


No. 4
{
  "formula": "LiDy6Bi3",
  "functional": "GGA-PBE",
  "state": "optimized geometry",
  "dos_at_fermi_per_ev_atom": 1.068,
  "ef_ev_per_atom": -0.427,
  "energy_ev_per_atom": -4.544,
  "space_group": "Cmc2_1, No. 36",
  "cell": [[6.275, -6.183, 0.000], [6.275, 6.183, 0.000], [0.000, 0.000, 7.620]],
  "species": ["Li", "Li", "Dy", "Dy", "Dy", "Dy", "Dy", "Dy", "Dy", "Dy", "Dy", "Dy", "Dy", "Dy", "Bi", "Bi", "Bi", "Bi", "Bi", "Bi"],
  "fractional_positions": [[0.156, 0.844, 0.500], [0.844, 0.156, 0.000], [0.041, 0.460, 0.640], [0.097, 0.198, 0.316], [0.198, 0.097, 0.816], [0.300, 0.700, 0.830], [0.390, 0.610, 0.347], [0.460, 0.041, 0.140], [0.540, 0.959, 0.640], [0.610, 0.390, 0.847], [0.700, 0.300, 0.330], [0.802, 0.903, 0.316], [0.903, 0.802, 0.816], [0.959, 0.540, 0.140], [0.131, 0.869, 0.139], [0.280, 0.385, 0.031], [0.385, 0.280, 0.531], [0.615, 0.720, 0.031], [0.720, 0.615, 0.531], [0.869, 0.131, 0.639]]
}